No. 1
# TiGa2Pd

A relaxed TiGa2Pd crystal (GGA-PBE, Alexandria via LeMat-Bulk).

Lattice parameters (Å, degrees): 7.0307 7.0307 5.6878 51.83 51.83 90.00
Element x y z (fractional)
Ti 0.5000 0.5000 0.0000
Ga 0.3750 0.3575 0.7500
Ga 0.8750 0.8925 0.7500
Ga 0.6425 0.1250 0.2500
Ga 0.1075 0.6250 0.2500
Pd 0.0000 0.0000 0.0000
Pd 0.7500 0.2500 0.5000
Ti 0.2500 0.7500 0.5000

Values from the calculation:
symmetry = I-42d, No. 122
formation energy from the elements = -0.263 eV/atom
Fermi-level density of states = 1.9 states/eV/f.u.
total moment = 0.00 μB per cell


No. 2
# Ti2Ga3Pd2

A relaxed Ti2Ga3Pd2 crystal (GGA-PBE, Alexandria via LeMat-Bulk).

Lattice parameters (Å, degrees): 6.7761 6.5919 5.1551 90.00 90.23 90.00
Element x y z (fractional)
Pd 0.0070 0.2115 0.6028
Ga 0.2943 0.0373 0.3515
Ga 0.0000 0.0000 0.0000
Ga 0.7943 0.4627 0.3515
Ga 0.7057 0.9627 0.6485
Ti 0.6456 0.1228 0.1260
Pd 0.5070 0.2885 0.6028
Ti 0.8544 0.6228 0.8740
Ga 0.5000 0.5000 0.0000
Pd 0.4930 0.7115 0.3972
Ti 0.1456 0.3772 0.1260
Pd 0.9930 0.7885 0.3972
Ti 0.3544 0.8772 0.8740
Ga 0.2057 0.5373 0.6485

Values from the calculation:
symmetry = P2_1/c, No. 14
formation energy from the elements = -0.388 eV/atom
Fermi-level density of states = 5.5 states/eV/f.u.
total moment = 0.01 μB per cell


No. 3
# TiGa3Pd12

A relaxed TiGa3Pd12 crystal (GGA-PBE, Alexandria via LeMat-Bulk).

Lattice parameters (Å, degrees): 3.9281 3.9281 15.6622 90.00 90.00 90.00
Element x y z (fractional)
Pd 0.5000 0.5000 0.5000
Pd 0.5000 0.5000 0.2488
Pd 0.0000 0.5000 0.8767
Pd 0.0000 0.5000 0.1233
Pd 0.5000 0.5000 0.0000
Ga 0.0000 0.0000 0.5000
Pd 0.0000 0.5000 0.3747
Pd 0.0000 0.5000 0.6253
Pd 0.5000 0.0000 0.8767
Pd 0.5000 0.5000 0.7512
Ga 0.0000 0.0000 0.2533
Pd 0.5000 0.0000 0.3747
Pd 0.5000 0.0000 0.6253
Ga 0.0000 0.0000 0.7467
Ti 0.0000 0.0000 0.0000
Pd 0.5000 0.0000 0.1233

Values from the calculation:
symmetry = P4/mmm, No. 123
formation energy from the elements = -0.515 eV/atom
Fermi-level density of states = 15.4 states/eV/f.u.
total moment = 0.00 μB per cell


No. 4
# TiGaPd3

A relaxed TiGaPd3 crystal (GGA-PBE, Alexandria via LeMat-Bulk).

Lattice parameters (Å, degrees): 4.5225 4.5188 7.7978 90.00 73.14 90.00
Element x y z (fractional)
Ti 0.1790 0.2500 0.2903
Ti 0.4694 0.7500 0.7097
Pd 0.7654 0.2500 0.1176
Pd 0.2668 0.7500 0.1148
Pd 0.3816 0.2500 0.8852
Ga 0.9706 0.2500 0.7071
Ga 0.6777 0.7500 0.2929
Pd 0.0738 0.7500 0.5008
Pd 0.5746 0.2500 0.4992
Pd 0.8830 0.7500 0.8824

Values from the calculation:
symmetry = Cmcm, No. 63
formation energy from the elements = -0.634 eV/atom
Fermi-level density of states = 3.0 states/eV/f.u.
E above lowest polymorph = 0.06 eV per formula unit
total moment = 0.00 μB per cell